## FeAu2CO (PBE+U)

Data for a relaxed FeAu2CO crystal.

Cell and atoms, written as POSCAR:
```
FeAu2CO
1.0
-4.355 -2.468 -0.360
1.579 -2.510 -1.906
1.078 -2.516 4.207
C Au Fe O
1 2 1 1
direct
0.500 0.500 0.500
0.000 0.000 0.500
0.500 0.000 0.000
0.000 0.000 0.000
0.000 0.500 0.000
```

Properties
Space group: P4/mmm (123)
Theoretical density, g cm⁻³: 8.936
Energy, eV per atom: -3.87